A plane-wave DFT calculation with PBE was carried out for Nd7Tl3N2 after structural relaxation.

Values from the calculation:
The calculation puts the total magnetization at 0.0 Bohr magnetons per cell. Its energy relative to the elements, uncorrected is -699 meV/atom.

Cell and atoms, written as CIF:
```
data_Nd7Tl3N2
_symmetry_space_group_name_H-M 'I 4/m m m'
_symmetry_Int_Tables_number 139
_symmetry_space_group_name_Hall '-I 4 2'
_cell_length_a 5.0053
_cell_length_b 5.0053
_cell_length_c 26.2457
_cell_angle_alpha 90.00
_cell_angle_beta 90.00
_cell_angle_gamma 90.00
loop_
_atom_site_label
_atom_site_fract_x
_atom_site_fract_y
_atom_site_fract_z
_atom_site_occupancy
Nd1 0.0000 0.0000 0.0000 1
Nd2 0.0000 0.0000 0.1964 1
Nd3 0.0000 0.5000 0.0959 1
Tl1 0.0000 0.0000 0.3205 1
Tl2 0.0000 0.0000 0.5000 1
N1 0.0000 0.0000 0.0991 1
```